1.
Material: ReSiPt2
Method: DFT, PBE
State: optimized geometry

Unit cell a=4.0393 b=4.0393 c=7.2300 alpha=90.00 beta=90.00 gamma=90.00
Space group I-4m2 (No. 119)
Unique sites:
Re  0.0000  0.0000  0.0000 x2
Si  0.0000  0.5000  0.7500 x2
Pt  0.0000  0.0000  0.5000 x2
Pt  0.0000  0.5000  0.2500 x2

Results
Raw formation energy   0.009 eV per atom
Uncorrected energy   -7.479 eV per atom

---

2.
Material: CaVH
Method: DFT, PBE
State: optimized geometry

Unit cell a=3.1785 b=3.4305 c=17.8904 alpha=90.00 beta=90.00 gamma=90.00
Space group Imm2 (No. 44)
Unique sites:
Ca  0.0000  0.0000  0.0000 x2
Ca  0.0000  0.0000  0.1973 x2
V  0.0000  0.0000  0.3721 x2
V  0.0000  0.0000  0.8238 x2
H  0.0000  0.0000  0.7198 x2
H  0.0000  0.5000  0.6006 x2

Results
Energy relative to the lowest polymorph listed for this composition   97.9 meV per atom
Uncorrected energy   -4.816 eV per atom